Record 1
A relaxed BeHg2PdPt crystal, computed with GGA-PBE.

Cell: 5.140 5.140 5.022 Å, 90.00 90.00 90.00°
Sites, in units of the cell vectors:
Be: 0.000 0.000 0.000
Hg: 0.000 0.500 0.500
Hg: 0.500 0.000 0.500
Pd: 0.500 0.500 0.500
Pt: 0.500 0.500 0.000

calculated formation energy	510	kJ/mol of formula units

---

Record 2
A relaxed Mg2TeI crystal, computed with GGA-PBE.

Cell: 8.374 8.374 8.374 Å, 131.41 131.41 71.16°
Sites, in units of the cell vectors:
Mg: 0.098 0.625 0.973
Mg: 0.375 0.348 0.473
Mg: 0.652 0.125 0.027
Mg: 0.875 0.902 0.527
Te: 0.000 0.000 0.000
Te: 0.750 0.250 0.500
I: 0.250 0.750 0.500
I: 0.500 0.500 0.000

formation energy (no corrections)	-456	meV per atom
offset from the most stable computed form	0.0000	eV/atom

---

no.,M_tot (μB per atom)
1,0.081
2,0.000